(1)
Pr2Dy2I7 | the Alexandria database | PBE | relaxed; crystal system = monoclinic; volume = 510.4 Å³ per cell; space-group type = C2/m, No. 12; DOS(E_F) = 0.632 states/eV/atom; uncorrected formation energy = -10.868 eV/f.u.
1.0
8.163 0.549 0.793
-0.379 8.153 -0.055
-0.379 -2.915 7.614
Pr I Dy
2 7 2
Cartesian
3.702 4.413 3.123
3.702 1.375 5.229
1.691 6.509 4.658
5.963 3.725 5.376
1.691 2.075 7.730
5.714 -0.721 3.694
5.714 3.712 0.622
1.442 2.062 2.976
0.000 0.000 0.000
0.809 3.773 5.444
6.596 2.015 2.908

---

(2)
PrDyI6 | the Alexandria database | PBE | relaxed; crystal system = trigonal; volume = 362.7 Å³ per cell; space-group type = R-3, No. 148; DOS(E_F) = 0.000 states/eV/atom; uncorrected formation energy = -10.741 eV/f.u.
1.0
7.732 0.010 0.010
3.857 6.701 0.014
3.854 2.228 7.012
I Pr Dy
6 1 1
Cartesian
6.464 6.644 1.800
8.980 2.295 5.237
10.235 4.477 1.802
8.970 6.645 5.243
6.474 2.294 1.794
5.208 4.462 5.235
0.000 0.000 0.000
7.722 4.470 3.518

---

(3)
Pr2DyPt2I2 | the Alexandria database | PBE | relaxed; crystal system = tetragonal; volume = 230.9 Å³ per cell; space-group type = I4/mmm, No. 139; DOS(E_F) = 0.827 states/eV/atom; uncorrected formation energy = -6.638 eV/f.u.
1.0
-1.415 3.941 3.229
-5.040 -0.595 -1.484
2.067 -7.101 5.244
Pt I Dy Pr
2 2 1 2
Cartesian
-2.520 -0.297 -0.742
-0.708 1.971 1.614
-3.940 -1.657 4.625
-0.448 -2.097 2.364
0.000 0.000 0.000
-3.469 0.546 2.142
-0.919 -4.301 4.847

---

(4)
Dy7PtI12 | the Alexandria database | PBE | relaxed; crystal system = trigonal; volume = 768.6 Å³ per cell; space-group type = R-3, No. 148; DOS(E_F) = 0.222 states/eV/atom; uncorrected formation energy = -25.492 eV/f.u.
1.0
9.358 -0.170 -2.827
-3.761 8.570 -2.827
-0.113 -0.170 9.775
I Dy Pt
12 7 1
Cartesian
1.870 3.932 -0.879
3.753 1.215 2.041
-1.885 5.768 0.059
3.745 7.748 -1.673
3.613 4.298 5.000
-0.020 6.440 5.948
-0.035 3.240 3.038
5.503 1.790 -1.827
5.519 4.990 1.083
7.368 2.462 4.062
1.730 7.015 2.080
1.739 0.482 5.794
2.742 4.115 2.061
6.347 5.649 4.070
-0.863 2.581 0.051
0.804 0.198 2.593
3.028 7.412 4.965
2.456 0.818 -0.844
4.679 8.033 1.528
0.000 0.000 0.000

---

(5)
Dy2PtI2 | the Alexandria database | PBE | relaxed; crystal system = trigonal; volume = 170.8 Å³ per cell; space-group type = R-3m, No. 166; DOS(E_F) = 0.377 states/eV/atom; uncorrected formation energy = -6.373 eV/f.u.
1.0
-3.868 -0.514 1.326
-0.771 -2.495 3.188
-0.229 7.924 8.809
Dy I Pt
2 2 1
Cartesian
-2.916 -0.805 3.992
-1.952 5.720 9.331
-1.126 1.844 3.835
-3.742 3.071 9.489
0.000 0.000 0.000

---

(6)
Dy2PuI | the Alexandria database | PBE | relaxed; crystal system = tetragonal; E above lowest polymorph = 0.29 eV per formula unit; volume = 121.4 Å³ per cell; space-group type = P4/mmm, No. 123; DOS(E_F) = 2.135 states/eV/atom; uncorrected formation energy = -0.740 eV/f.u.
1.0
-0.177 2.980 2.006
-3.051 0.935 -1.658
-4.949 -4.657 6.481
Pu I Dy
1 1 2
Cartesian
-1.614 1.957 0.174
-4.089 -0.372 3.414
-1.238 -1.165 1.621
-3.711 -3.493 4.860

---

(7)
Dy2PuI | the Alexandria database | PBE | relaxed; crystal system = trigonal; E above lowest polymorph = 0.00 eV per formula unit; volume = 122.2 Å³ per cell; space-group type = R-3m, No. 166; DOS(E_F) = 2.025 states/eV/atom; uncorrected formation energy = -1.032 eV/f.u.
1.0
-1.996 2.627 -1.647
-3.313 -0.809 -1.402
-6.190 2.950 8.075
Dy I Pu
2 1 1
Cartesian
-8.582 3.554 3.683
-2.916 1.214 1.342
-5.749 2.384 2.512
0.000 0.000 0.000

---

(8)
DyPuI6 | the Alexandria database | PBE | relaxed; crystal system = monoclinic; E above lowest polymorph = 0.00 eV per formula unit; volume = 428.5 Å³ per cell; space-group type = C2/m, No. 12; DOS(E_F) = 1.168 states/eV/atom; uncorrected formation energy = -9.698 eV/f.u.
1.0
7.835 -0.929 -1.058
-3.260 7.185 -1.058
0.939 1.283 7.610
I Pu Dy
6 1 1
Cartesian
6.182 0.314 4.951
2.092 2.861 5.273
-1.574 5.986 4.951
7.088 1.553 0.544
3.422 4.678 0.221
-0.668 7.225 0.544
0.469 0.642 3.805
0.000 0.000 0.000

---

(9)
DyPuI4 | the Alexandria database | PBE | relaxed; crystal system = monoclinic; volume = 245.9 Å³ per cell; space-group type = C2/m, No. 12; DOS(E_F) = 2.148 states/eV/atom; uncorrected formation energy = -6.785 eV/f.u.
1.0
-1.384 1.996 -3.452
-6.065 -6.496 1.256
-1.133 6.130 3.999
I Dy Pu
4 1 1
Cartesian
-5.134 -3.816 -0.147
-6.397 0.129 0.059
-3.447 5.445 1.950
-2.184 1.501 1.744
-1.259 4.063 0.273
0.000 0.000 0.000

---

(10)
DyPuI6 | the Alexandria database | PBE | relaxed; crystal system = trigonal; E above lowest polymorph = 0.40 eV per formula unit; volume = 359.0 Å³ per cell; space-group type = R-3, No. 148; DOS(E_F) = 1.500 states/eV/atom; uncorrected formation energy = -9.298 eV/f.u.
1.0
7.667 0.010 0.010
3.825 6.644 0.015
3.822 2.209 7.060
I Dy Pu
6 1 1
Cartesian
5.151 4.376 5.267
6.454 2.239 1.810
8.953 2.289 5.269
6.360 6.575 1.816
8.859 6.625 5.275
10.162 4.488 1.818
7.657 4.432 3.543
0.000 0.000 0.000

---

(11)
DyPuI | the Alexandria database | PBE | relaxed; crystal system = monoclinic; volume = 366.4 Å³ per cell; space-group type = P2_1/c, No. 14; DOS(E_F) = 1.284 states/eV/atom; uncorrected formation energy = -1.056 eV/f.u.
1.0
-3.710 0.606 -1.746
5.596 -1.858 -12.535
-0.844 -6.373 -0.417
I Dy Pu
4 4 4
Cartesian
1.255 -5.922 -4.773
-0.139 -2.439 -5.419
-0.213 -1.703 -9.925
1.181 -5.186 -9.279
2.456 -2.942 -11.026
-1.415 -4.683 -3.672
-2.747 -1.210 -4.289
3.789 -6.415 -10.409
2.021 -7.301 -14.210
-0.979 -0.324 -0.488
2.446 -4.115 -14.000
-1.404 -3.510 -0.698

---

(12)
RbDyI4 | the Alexandria database | PBE | relaxed; crystal system = orthorhombic; E above lowest polymorph = 0.19 eV per formula unit; volume = 590.9 Å³ per cell; space-group type = Cmc2_1, No. 36; DOS(E_F) = 0.000 states/eV/atom; uncorrected formation energy = -8.398 eV/f.u.
1.0
-3.960 -4.327 -1.693
3.749 -5.496 5.276
-5.086 5.362 9.200
I Dy Rb
8 2 2
Cartesian
-3.937 1.485 5.411
-3.958 -1.511 2.112
-6.946 -0.874 7.472
1.665 -3.611 5.333
-2.650 -4.056 5.557
-3.148 -2.132 12.810
-0.753 -4.376 1.937
-2.734 -0.905 8.707
-0.384 -5.805 4.726
-4.775 1.142 8.250
-3.630 -4.588 9.208
-1.031 -0.805 4.469